Model a:
## CaNiS2Cl (PBE)

Data for CaNiS2Cl after structural relaxation.

Lattice parameters (Å, degrees): 4.5379 4.5379 4.6954 90.00 90.00 90.00
With the nearest neighbours (Å) after each atom.
Space group P4/mmm (No. 123)
One atom of each set of equivalent atoms:
Ca1 0.0000 0.0000 0.0000  4 Cl 3.21, 8 S 3.26
Ni1 0.5000 0.5000 0.5000  4 S 2.27, 2 Cl 2.35
S1 0.0000 0.5000 0.5000  2 Ni 2.27
Cl1 0.5000 0.5000 0.0000  2 Ni 2.35

Output
The density of states at the Fermi level comes out at 2.771 states/eV/f.u.

Model b:
## CaNiS2Cl (PBE)

Data for CaNiS2Cl after structural relaxation.

Lattice parameters (Å, degrees): 5.3375 5.3375 5.1191 90.00 90.00 90.00
With the nearest neighbours (Å) after each atom.
Space group P4/mmm (No. 123)
One atom of each set of equivalent atoms:
Ca1 0.0000 0.0000 0.0000  2 Cl 2.56, 4 S 2.67
Ni1 0.5000 0.5000 0.5000  8 S 3.70, 4 Cl 3.77
S1 0.0000 0.5000 0.0000  2 Ca 2.67
Cl1 0.0000 0.0000 0.5000  2 Ca 2.56

Output
The density of states at the Fermi level comes out at 10.001 states/eV/f.u.

Quick one: least stable of them? model b

Model a:
## CaNiSbCl2 (PBE)

Data for CaNiSbCl2 after structural relaxation.

Lattice parameters (Å, degrees): 4.6700 4.6700 5.3731 90.00 90.00 90.00
With the nearest neighbours (Å) after each atom.
Space group P4/mmm (No. 123)
One atom of each set of equivalent atoms:
Ca1 0.0000 0.0000 0.0000  4 Sb 3.30, 8 Cl 3.56
Ni1 0.5000 0.5000 0.5000  4 Cl 2.33
Sb1 0.5000 0.5000 0.0000  2 Ni 2.69
Cl1 0.0000 0.5000 0.5000  2 Ni 2.33

Output
The density of states at the Fermi level comes out at 3.985 states/eV/f.u.

Model b:
## CaNiSbCl2 (PBE)

Data for CaNiSbCl2 after structural relaxation.

Lattice parameters (Å, degrees): 4.9507 4.9507 6.2276 90.00 90.00 90.00
With the nearest neighbours (Å) after each atom.
Space group P4/mmm (No. 123)
One atom of each set of equivalent atoms:
Ca1 0.0000 0.0000 0.0000  4 Cl 2.48
Ni1 0.0000 0.0000 0.5000  2 Ca 3.11
Sb1 0.5000 0.5000 0.5000  4 Ni 3.50
Cl1 0.0000 0.5000 0.0000  2 Ca 2.48

Output
The density of states at the Fermi level comes out at 9.709 states/eV/f.u.

Quick one: least stable of them? model b

Model a:
## Ca2NpCl8 (PBE)

Data for Ca2NpCl8 after structural relaxation.

Lattice parameters (Å, degrees): 11.5283 8.9962 6.4268 90.00 107.66 90.00
With the nearest neighbours (Å) after each atom.
Space group C2/m (No. 12)
One atom of each set of equivalent atoms:
Ca1 0.1611 0.0000 0.4365  5 Cl 2.66-2.95
Np1 0.0000 0.5000 0.0000  6 Cl 2.56-2.65
Cl1 0.0755 0.0000 0.7777  2 Ca 2.66
Cl2 0.1382 0.5000 0.7539  1 Np 2.56
Cl3 0.1470 0.3052 0.2609  1 Np 2.65, 1 Ca 2.95

Output
The density of states at the Fermi level comes out at 3.928 states/eV/f.u.

Model b:
## Ca2NpCl8 (PBE)

Data for Ca2NpCl8 after structural relaxation.

Lattice parameters (Å, degrees): 7.4225 11.8806 7.3942 90.00 100.61 90.00
With the nearest neighbours (Å) after each atom.
Space group C2/m (No. 12)
One atom of each set of equivalent atoms:
Ca1 0.0000 0.1883 0.0000  4 Cl 2.69-2.70
Np1 0.0000 0.5000 0.5000  4 Cl 2.47-2.66
Cl1 0.0000 0.2924 0.5000  1 Np 2.47
Cl2 0.1851 0.0000 0.2597  1 Np 2.66
Cl3 0.2132 0.3571 0.1645  2 Ca 2.69-2.70

Output
The density of states at the Fermi level comes out at 8.869 states/eV/f.u.

Quick one: least stable of them? model b

Model a:
## CaCl3O (PBE)

Data for CaCl3O after structural relaxation.

Lattice parameters (Å, degrees): 5.3935 5.3935 5.3935 90.00 90.00 90.00
With the nearest neighbours (Å) after each atom.
Space group Pm-3m (No. 221)
One atom of each set of equivalent atoms:
Ca1 0.0000 0.0000 0.0000  6 Cl 2.70
Cl1 0.0000 0.0000 0.5000  2 Ca 2.70
O1 0.5000 0.5000 0.5000  12 Cl 3.81

Output
The density of states at the Fermi level comes out at 13.240 states/eV/f.u.

Model b:
## CaCl3O (PBE)

Data for CaCl3O after structural relaxation.

Lattice parameters (Å, degrees): 4.6116 4.6116 4.6116 90.00 90.00 90.00
With the nearest neighbours (Å) after each atom.
Space group Pm-3m (No. 221)
One atom of each set of equivalent atoms:
Ca1 0.0000 0.0000 0.0000  12 Cl 3.26
Cl1 0.0000 0.5000 0.5000  2 O 2.31
O1 0.5000 0.5000 0.5000  6 Cl 2.31

Output
The density of states at the Fermi level comes out at 1.321 states/eV/f.u.

Quick one: least stable of them? model a

Model a:
## Ca2Cl2O (PBE)

Data for Ca2Cl2O after structural relaxation.

Lattice parameters (Å, degrees): 3.8096 17.1444 6.8408 90.00 90.00 90.00
With the nearest neighbours (Å) after each atom.
Space group Cmc2_1 (No. 36)
One atom of each set of equivalent atoms:
Ca1 0.0000 0.0217 0.0000  2 O 2.25-2.29
Ca2 0.0000 0.3419 0.8502  2 O 2.34
Cl1 0.0000 0.2624 0.5072  3 Ca 2.71-2.82
Cl2 0.0000 0.4291 0.2147  5 Ca 2.85-2.91
O1 0.0000 0.0825 0.2909  4 Ca 2.25-2.34

Output
The density of states at the Fermi level comes out at 0.000 states/eV/f.u.

Model b:
## Ca2Cl2O (PBE)

Data for Ca2Cl2O after structural relaxation.

Lattice parameters (Å, degrees): 6.7462 10.7205 6.0708 90.00 90.00 90.00
With the nearest neighbours (Å) after each atom.
Space group Ibam (No. 72)
One atom of each set of equivalent atoms:
Ca1 0.1929 0.0921 0.0000  2 O 2.23
Cl1 0.1211 0.3492 0.0000  3 Ca 2.80-2.96
O1 0.0000 0.0000 0.2500  4 Ca 2.23

Output
The density of states at the Fermi level comes out at 0.000 states/eV/f.u.

Quick one: least stable of them? model a

Model a:
## CaP2ClO (PBE)

Data for CaP2ClO after structural relaxation.

Lattice parameters (Å, degrees): 4.6616 4.6616 4.3509 90.00 90.00 90.00
With the nearest neighbours (Å) after each atom.
Space group P4/mmm (No. 123)
One atom of each set of equivalent atoms:
Ca1 0.0000 0.0000 0.0000  8 P 3.19, 4 O 3.30
P1 0.0000 0.5000 0.5000  2 Cl 2.33
Cl1 0.5000 0.5000 0.5000  2 O 2.18, 4 P 2.33
O1 0.5000 0.5000 0.0000  2 Cl 2.18

Output
The density of states at the Fermi level comes out at 5.058 states/eV/f.u.

Model b:
## CaP2ClO (PBE)

Data for CaP2ClO after structural relaxation.

Lattice parameters (Å, degrees): 5.5016 5.5016 4.2408 90.00 90.00 90.00
With the nearest neighbours (Å) after each atom.
Space group P4/mmm (No. 123)
One atom of each set of equivalent atoms:
Ca1 0.0000 0.0000 0.0000  2 O 2.12
P1 0.0000 0.5000 0.0000  2 Ca 2.75
Cl1 0.5000 0.5000 0.5000  8 P 3.47
O1 0.0000 0.0000 0.5000  2 Ca 2.12

Output
The density of states at the Fermi level comes out at 5.284 states/eV/f.u.

Model c:
## CaP2ClO (PBE)

Data for CaP2ClO after structural relaxation.

Lattice parameters (Å, degrees): 3.9281 3.9281 6.0418 90.00 90.00 90.00
With the nearest neighbours (Å) after each atom.
Space group P4/mmm (No. 123)
One atom of each set of equivalent atoms:
Ca1 0.0000 0.0000 0.0000  4 Cl 2.78
P1 0.0000 0.5000 0.5000  2 O 1.96
Cl1 0.5000 0.5000 0.0000  4 Ca 2.78, 2 O 3.02
O1 0.5000 0.5000 0.5000  4 P 1.96

Output
The density of states at the Fermi level comes out at 3.213 states/eV/f.u.

Model d:
## CaP2ClO (PBE)

Data for CaP2ClO after structural relaxation.

Lattice parameters (Å, degrees): 5.4645 5.4645 5.0000 90.00 90.00 90.00
With the nearest neighbours (Å) after each atom.
Space group P4/mmm (No. 123)
One atom of each set of equivalent atoms:
Ca1 0.0000 0.0000 0.0000  2 Cl 2.50, 4 P 2.73
P1 0.0000 0.5000 0.0000  2 Ca 2.73
Cl1 0.0000 0.0000 0.5000  2 Ca 2.50
O1 0.5000 0.5000 0.5000  8 P 3.70, 4 Cl 3.86

Output
The density of states at the Fermi level comes out at 8.408 states/eV/f.u.

Quick one: least stable of them? model d